A plane-wave DFT calculation with PBE was carried out for a geometry-optimized TlCdFeNi structure.

Lattice parameters (Å, degrees): 4.526 4.526 4.526 60.00 60.00 60.00
Fractional positions:
Tl 0.000 0.000 0.000
Cd 0.500 0.500 0.500
Fe 0.250 0.250 0.250
Ni 0.750 0.750 0.750

Properties
- Offset from the most stable computed form: 0 meV/atom
- Symmetry: F-43m